# CrTeOF2 | Alexandria via LeMat-Bulk | GGA+U | relaxed
data_CrTeOF2
_space_group_name_H-M_alt 'P 4/m m m'
_space_group_IT_number 123
_space_group_name_Hall '-P 4 2'
_cell_length_a 4.041
_cell_length_b 4.041
_cell_length_c 4.282
_cell_angle_alpha 90.00
_cell_angle_beta 90.00
_cell_angle_gamma 90.00
loop_
_atom_site_label
_atom_site_fract_x
_atom_site_fract_y
_atom_site_fract_z
_atom_site_occupancy
Cr1 0.000 0.000 0.000 1
Te1 0.500 0.500 0.500 1
O1 0.000 0.000 0.500 1
F1 0.000 0.500 0.000 1
# Final energy (eV/cell): -25.520
# Distance to the lowest polymorph of the same formula (meV/atom): 0
# Total magnetization (μB per formula unit): 2.5